Record 1
# PrScZnCu (GGA-PBE, optimized geometry)
data_PrScZnCu
_cell_length_a 4.958
_cell_length_b 4.958
_cell_length_c 4.958
_cell_angle_alpha 60.00
_cell_angle_beta 60.00
_cell_angle_gamma 60.00
_symmetry_space_group_name_H-M 'P 1'
_symmetry_Int_Tables_number 1
loop_
_symmetry_equiv_pos_as_xyz
'x,y,z'
loop_
_atom_site_label
_atom_site_type_symbol
_atom_site_fract_x
_atom_site_fract_y
_atom_site_fract_z
Pr1 Pr 0.000 0.000 0.000
Sc1 Sc 0.500 0.500 0.500
Zn1 Zn 0.750 0.750 0.750
Cu1 Cu 0.250 0.250 0.250
# Raw total energy, eV/atom: -4.33
# Crystal system: cubic

***

Record 2
# Pr2ScZn12Cu3 (GGA-PBE, optimized geometry)
data_Pr2ScZn12Cu3
_cell_length_a 10.265
_cell_length_b 10.265
_cell_length_c 10.265
_cell_angle_alpha 36.36
_cell_angle_beta 36.36
_cell_angle_gamma 36.36
_symmetry_space_group_name_H-M 'P 1'
_symmetry_Int_Tables_number 1
loop_
_symmetry_equiv_pos_as_xyz
'x,y,z'
loop_
_atom_site_label
_atom_site_type_symbol
_atom_site_fract_x
_atom_site_fract_y
_atom_site_fract_z
Pr1 Pr 0.642 0.642 0.642
Pr2 Pr 0.358 0.358 0.358
Sc1 Sc 0.000 0.000 0.000
Zn1 Zn 0.321 0.321 0.721
Zn2 Zn 0.879 0.879 0.454
Zn3 Zn 0.454 0.879 0.879
Zn4 Zn 0.721 0.321 0.321
Zn5 Zn 0.879 0.454 0.879
Zn6 Zn 0.321 0.721 0.321
Zn7 Zn 0.679 0.679 0.279
Zn8 Zn 0.121 0.121 0.546
Zn9 Zn 0.546 0.121 0.121
Zn10 Zn 0.279 0.679 0.679
Zn11 Zn 0.121 0.546 0.121
Zn12 Zn 0.679 0.279 0.679
Cu1 Cu 0.500 0.000 0.000
Cu2 Cu 0.000 0.500 0.000
Cu3 Cu 0.000 0.000 0.500
# Raw total energy, eV/atom: -2.42
# Crystal system: trigonal

***

Record 3
# Pr2CuSe (GGA-PBE, optimized geometry)
data_Pr2CuSe
_cell_length_a 4.356
_cell_length_b 4.103
_cell_length_c 12.023
_cell_angle_alpha 99.82
_cell_angle_beta 90.00
_cell_angle_gamma 90.00
_symmetry_space_group_name_H-M 'P 1'
_symmetry_Int_Tables_number 1
loop_
_symmetry_equiv_pos_as_xyz
'x,y,z'
loop_
_atom_site_label
_atom_site_type_symbol
_atom_site_fract_x
_atom_site_fract_y
_atom_site_fract_z
Pr1 Pr 0.750 0.683 0.367
Pr2 Pr 0.250 0.317 0.633
Pr3 Pr 0.750 0.936 0.871
Pr4 Pr 0.250 0.064 0.129
Cu1 Cu 0.250 0.466 0.933
Cu2 Cu 0.750 0.534 0.067
Se1 Se 0.250 0.191 0.382
Se2 Se 0.750 0.809 0.618
# Uncorrected formation energy, meV/atom: -977.2
# Raw total energy, eV/atom: -5.26
# Crystal system: orthorhombic
# Energy above the most stable polymorph in this dataset, kJ/mol of atoms: 0.0

***

Record 4
# Pr2CuSe (GGA-PBE, optimized geometry)
data_Pr2CuSe
_cell_length_a 4.136
_cell_length_b 4.136
_cell_length_c 7.845
_cell_angle_alpha 74.71
_cell_angle_beta 74.71
_cell_angle_gamma 60.00
_symmetry_space_group_name_H-M 'P 1'
_symmetry_Int_Tables_number 1
loop_
_symmetry_equiv_pos_as_xyz
'x,y,z'
loop_
_atom_site_label
_atom_site_type_symbol
_atom_site_fract_x
_atom_site_fract_y
_atom_site_fract_z
Pr1 Pr 0.079 0.079 0.763
Pr2 Pr 0.254 0.254 0.237
Cu1 Cu 0.667 0.667 0.998
Se1 Se 0.499 0.499 0.502
# Uncorrected formation energy, meV/atom: -840.0
# Raw total energy, eV/atom: -5.12
# Crystal system: trigonal
# Energy above the most stable polymorph in this dataset, kJ/mol of atoms: 13.2

***

Record 5
# Pr3Cu5Se12 (GGA-PBE, optimized geometry)
data_Pr3Cu5Se12
_cell_length_a 13.605
_cell_length_b 13.605
_cell_length_c 13.605
_cell_angle_alpha 109.47
_cell_angle_beta 109.47
_cell_angle_gamma 109.47
_symmetry_space_group_name_H-M 'P 1'
_symmetry_Int_Tables_number 1
loop_
_symmetry_equiv_pos_as_xyz
'x,y,z'
loop_
_atom_site_label
_atom_site_type_symbol
_atom_site_fract_x
_atom_site_fract_y
_atom_site_fract_z
Pr1 Pr 0.750 0.375 0.125
Pr2 Pr 0.875 0.750 0.125
Pr3 Pr 0.375 0.750 0.625
Pr4 Pr 0.250 0.125 0.375
Pr5 Pr 0.875 0.125 0.250
Pr6 Pr 0.375 0.625 0.250
Pr7 Pr 0.625 0.375 0.750
Pr8 Pr 0.125 0.875 0.750
Pr9 Pr 0.750 0.875 0.625
Pr10 Pr 0.625 0.250 0.375
Pr11 Pr 0.125 0.250 0.875
Pr12 Pr 0.250 0.625 0.875
Cu1 Cu 0.125 0.375 0.250
Cu2 Cu 0.000 0.500 0.000
Cu3 Cu 0.000 0.000 0.000
Cu4 Cu 0.375 0.250 0.125
Cu5 Cu 0.500 0.000 0.500
Cu6 Cu 0.500 0.500 0.000
Cu7 Cu 0.125 0.750 0.375
Cu8 Cu 0.750 0.125 0.875
Cu9 Cu 0.750 0.625 0.375
Cu10 Cu 0.375 0.125 0.750
Cu11 Cu 0.625 0.875 0.250
Cu12 Cu 0.500 0.500 0.500
Cu13 Cu 0.500 0.000 0.000
Cu14 Cu 0.000 0.000 0.500
Cu15 Cu 0.250 0.375 0.625
Cu16 Cu 0.250 0.875 0.125
Cu17 Cu 0.000 0.500 0.500
Cu18 Cu 0.875 0.250 0.625
Cu19 Cu 0.625 0.750 0.875
Cu20 Cu 0.875 0.625 0.750
Se1 Se 0.703 0.118 0.027
Se2 Se 0.324 0.527 0.409
Se3 Se 0.973 0.382 0.297
Se4 Se 0.527 0.203 0.118
Se5 Se 0.585 0.703 0.676
Se6 Se 0.973 0.591 0.176
Se7 Se 0.324 0.797 0.415
Se8 Se 0.091 0.915 0.118
Se9 Se 0.591 0.973 0.676
Se10 Se 0.703 0.585 0.176
Se11 Se 0.797 0.473 0.382
Se12 Se 0.824 0.909 0.027
Se13 Se 0.118 0.703 0.527
Se14 Se 0.382 0.409 0.085
Se15 Se 0.085 0.909 0.382
Se16 Se 0.415 0.118 0.591
Se17 Se 0.085 0.176 0.203
Se18 Se 0.473 0.676 0.091
Se19 Se 0.824 0.915 0.297
Se20 Se 0.118 0.415 0.091
Se21 Se 0.382 0.973 0.797
Se22 Se 0.591 0.618 0.415
Se23 Se 0.909 0.824 0.527
Se24 Se 0.797 0.324 0.915
Se25 Se 0.409 0.382 0.585
Se26 Se 0.091 0.176 0.473
Se27 Se 0.203 0.676 0.085
Se28 Se 0.176 0.085 0.703
Se29 Se 0.618 0.027 0.203
Se30 Se 0.882 0.585 0.909
Se31 Se 0.527 0.324 0.909
Se32 Se 0.585 0.882 0.409
Se33 Se 0.915 0.824 0.797
Se34 Se 0.915 0.091 0.618
Se35 Se 0.882 0.297 0.473
Se36 Se 0.176 0.091 0.973
Se37 Se 0.618 0.591 0.915
Se38 Se 0.409 0.027 0.324
Se39 Se 0.297 0.415 0.824
Se40 Se 0.203 0.527 0.618
Se41 Se 0.909 0.085 0.882
Se42 Se 0.676 0.203 0.585
Se43 Se 0.473 0.797 0.882
Se44 Se 0.027 0.409 0.824
Se45 Se 0.415 0.297 0.324
Se46 Se 0.027 0.618 0.703
Se47 Se 0.676 0.473 0.591
Se48 Se 0.297 0.882 0.973
# Uncorrected formation energy, meV/atom: -634.4
# Raw total energy, eV/atom: -4.47
# Crystal system: cubic

***

Record 6
# PrCu2Se3 (GGA-PBE, optimized geometry)
data_PrCu2Se3
_cell_length_a 4.953
_cell_length_b 7.621
_cell_length_c 7.621
_cell_angle_alpha 109.92
_cell_angle_beta 90.00
_cell_angle_gamma 90.00
_symmetry_space_group_name_H-M 'P 1'
_symmetry_Int_Tables_number 1
loop_
_symmetry_equiv_pos_as_xyz
'x,y,z'
loop_
_atom_site_label
_atom_site_type_symbol
_atom_site_fract_x
_atom_site_fract_y
_atom_site_fract_z
Pr1 Pr 0.250 0.268 0.732
Pr2 Pr 0.750 0.732 0.268
Cu1 Cu 0.000 0.190 0.190
Cu2 Cu 0.500 0.190 0.190
Cu3 Cu 0.000 0.810 0.810
Cu4 Cu 0.500 0.810 0.810
Se1 Se 0.750 0.113 0.887
Se2 Se 0.750 0.159 0.452
Se3 Se 0.250 0.452 0.159
Se4 Se 0.750 0.548 0.841
Se5 Se 0.250 0.841 0.548
Se6 Se 0.250 0.887 0.113
# Uncorrected formation energy, meV/atom: -771.2
# Raw total energy, eV/atom: -4.68
# Crystal system: orthorhombic